The following is a DFT calculation (meta-GGA SCAN) of Tl2CdRe at its PBEsol-relaxed geometry.

POSCAR file:
```
Tl2CdRe
1.0
3.6232 0.0000 0.0000
0.0000 3.6232 0.0000
0.0000 0.0000 6.1068
Cd Re Tl
1 1 2
Cartesian
1.8116 1.8116 0.0000
1.8116 1.8116 3.0534
0.0000 0.0000 4.5012
0.0000 0.0000 1.6056
```

Values from the calculation:
Final energy, eV per formula unit: -242.44
Energy above the lowest structure with this stoichiometry, meV per atom: 327.9
Symmetry: P4/mmm (123)
Crystal system: tetragonal
ΔE_f, eV per atom: 0.95